Entry from the Alexandria database: an optimized crystal structure of Tl3VO4 (PBE+U).

The structure in POSCAR format:
```
Tl3VO4
1.0
9.112 0.000 0.000
0.000 7.911 0.000
0.000 0.000 10.359
Tl V O
12 4 16
Direct
0.630 0.166 0.558 Tl
0.474 0.599 0.750 Tl
0.526 0.401 0.250 Tl
0.870 0.666 0.442 Tl
0.130 0.334 0.558 Tl
0.026 0.099 0.250 Tl
0.370 0.834 0.442 Tl
0.974 0.901 0.750 Tl
0.370 0.834 0.058 Tl
0.870 0.666 0.058 Tl
0.630 0.166 0.942 Tl
0.130 0.334 0.942 Tl
0.694 0.940 0.250 V
0.306 0.060 0.750 V
0.194 0.560 0.250 V
0.806 0.440 0.750 V
0.816 0.216 0.750 O
0.203 0.000 0.614 O
0.184 0.784 0.250 O
0.021 0.470 0.250 O
0.316 0.284 0.750 O
0.297 0.500 0.386 O
0.297 0.500 0.114 O
0.797 0.000 0.386 O
0.703 0.500 0.614 O
0.479 0.970 0.750 O
0.979 0.530 0.750 O
0.797 0.000 0.114 O
0.203 0.000 0.886 O
0.684 0.716 0.250 O
0.703 0.500 0.886 O
0.521 0.030 0.250 O
```

Calculated density, Mg/m³: 6.48
Final energy, eV per formula unit: -44.82
DOS(E_F), states/eV/f.u.: 0.00